Record 1
VASP calculation (GGA-PBE) on a geometry-optimized NaSc2TcAg structure.

Structure (CIF):
```
data_NaSc2TcAg
_space_group_name_H-M_alt 'P 4/m m m'
_space_group_IT_number 123
_space_group_name_Hall '-P 4 2'
_cell_length_a 5.1797
_cell_length_b 5.1797
_cell_length_c 5.0975
_cell_angle_alpha 90.00
_cell_angle_beta 90.00
_cell_angle_gamma 90.00
loop_
_atom_site_label
_atom_site_type_symbol
_atom_site_fract_x
_atom_site_fract_y
_atom_site_fract_z
Na1 Na 0.0000 0.0000 0.0000
Sc1 Sc 0.0000 0.5000 0.5000
Tc1 Tc 0.5000 0.5000 0.0000
Ag1 Ag 0.5000 0.5000 0.5000
```

Fermi-level density of states in states/eV/f.u.: 8.62
Formation energy in eV per atom: 0.96
Total magnetization in μB per formula unit: 1.95

***

Record 2
VASP calculation (GGA-PBE) on a geometry-optimized NaScAgTe2 structure.

Structure (CIF):
```
data_NaScAgTe2
_space_group_name_H-M_alt 'P 1 2/c 1'
_space_group_IT_number 13
_cell_length_a 7.5639
_cell_length_b 4.9945
_cell_length_c 7.8110
_cell_angle_alpha 90.00
_cell_angle_beta 98.24
_cell_angle_gamma 90.00
loop_
_space_group_symop_operation_xyz
'x,y,z'
'-x,-y,-z'
'-x,y,-z+1/2'
'x,-y,z+1/2'
loop_
_atom_site_label
_atom_site_type_symbol
_atom_site_fract_x
_atom_site_fract_y
_atom_site_fract_z
Na1 Na 0.0000 0.1154 0.2500
Sc1 Sc 0.5000 0.4984 0.7500
Ag1 Ag 0.5000 0.0000 0.0000
Te1 Te 0.2286 0.3649 0.9637
```

Fermi-level density of states in states/eV/f.u.: 2.88
Final energy in eV per atom: -4.02
Total magnetization in μB per formula unit: 0.00

***

Record 3
VASP calculation (GGA-PBE) on a geometry-optimized NaScZn2Ag structure.

Structure (CIF):
```
data_NaScZn2Ag
_space_group_name_H-M_alt 'P 4/m m m'
_space_group_IT_number 123
_space_group_name_Hall '-P 4 2'
_cell_length_a 5.2278
_cell_length_b 5.2278
_cell_length_c 5.8292
_cell_angle_alpha 90.00
_cell_angle_beta 90.00
_cell_angle_gamma 90.00
loop_
_atom_site_label
_atom_site_type_symbol
_atom_site_fract_x
_atom_site_fract_y
_atom_site_fract_z
Na1 Na 0.0000 0.0000 0.0000
Sc1 Sc 0.0000 0.0000 0.5000
Zn1 Zn 0.0000 0.5000 0.5000
Ag1 Ag 0.5000 0.5000 0.0000
```

Fermi-level density of states in states/eV/f.u.: 5.93
Formation energy in eV per atom: 0.89
Total magnetization in μB per formula unit: 0.00

***

Record 4
VASP calculation (GGA-PBE) on a geometry-optimized Na2AgSe2 structure.

Structure (CIF):
```
data_Na2AgSe2
_space_group_name_H-M_alt 'P 4/m b m'
_space_group_IT_number 127
_space_group_name_Hall '-P 4 2ab'
_cell_length_a 8.4430
_cell_length_b 8.4430
_cell_length_c 3.0971
_cell_angle_alpha 90.00
_cell_angle_beta 90.00
_cell_angle_gamma 90.00
loop_
_atom_site_label
_atom_site_type_symbol
_atom_site_fract_x
_atom_site_fract_y
_atom_site_fract_z
Na1 Na 0.1254 0.3746 0.0000
Ag1 Ag 0.0000 0.0000 0.0000
Se1 Se 0.1757 0.6757 0.5000
```

Fermi-level density of states in states/eV/f.u.: 0.66
Relative energy among the computed polymorphs in meV/atom: 236
Total magnetization in μB per formula unit: 0.00